# 1
The following is a GGA-PBEsol calculation of a relaxed structure of K2NaPt, from the Alexandria database.

Unit cell a=5.479 b=5.479 c=5.479 alpha=60.00 beta=60.00 gamma=60.00
Fractional coordinates of all 4 atoms:
K 0.750 0.750 0.750
K 0.250 0.250 0.250
Pt 0.500 0.500 0.500
Na 0.000 0.000 0.000

## Properties
E_form = 224 meV per atom

# 2
The following is a GGA-PBEsol calculation of a relaxed structure of KNaPt2, from the Alexandria database.

Unit cell a=4.732 b=4.732 c=10.371 alpha=103.19 beta=103.19 gamma=90.00
Fractional coordinates of all 8 atoms:
Na 0.500 0.500 0.000
Na 0.750 0.250 0.500
Pt 0.550 0.875 0.250
Pt 0.125 0.300 0.750
Pt 0.700 0.375 0.250
Pt 0.625 0.450 0.750
K 0.250 0.750 0.500
K 0.000 0.000 0.000

## Properties
E_form = 313 meV per atom

# 3
The following is a GGA-PBEsol calculation of a relaxed structure of K2NaZnPt, from the Alexandria database.

Unit cell a=5.036 b=5.726 c=5.726 alpha=90.00 beta=90.00 gamma=90.00
Fractional coordinates of all 5 atoms:
Zn 0.500 0.000 0.000
K 0.000 0.000 0.500
K 0.000 0.500 0.000
Na 0.000 0.000 0.000
Pt 0.500 0.500 0.500

## Properties
E_form = 819 meV per atom

# 4
The following is a GGA-PBEsol calculation of a relaxed structure of K2Rb2Na, from the Alexandria database.

Unit cell a=6.932 b=10.306 c=10.306 alpha=90.00 beta=90.00 gamma=90.00
Fractional coordinates of all 10 atoms:
Na 0.000 0.000 0.000
Na 0.000 0.500 0.500
Rb 0.000 0.648 0.148
Rb 0.000 0.352 0.852
Rb 0.000 0.148 0.352
Rb 0.000 0.852 0.648
K 0.500 0.668 0.832
K 0.500 0.168 0.668
K 0.500 0.832 0.332
K 0.500 0.332 0.168

## Properties
E_form = 88 meV per atom

# 5
The following is a GGA-PBEsol calculation of a relaxed structure of K2RbNa2, from the Alexandria database.

Unit cell a=4.417 b=11.485 c=11.485 alpha=90.00 beta=90.00 gamma=90.00
Fractional coordinates of all 10 atoms:
Na 0.500 0.165 0.665
Na 0.500 0.665 0.835
Na 0.500 0.835 0.335
Na 0.500 0.335 0.165
Rb 0.000 0.500 0.500
Rb 0.000 0.000 0.000
K 0.000 0.632 0.132
K 0.000 0.132 0.368
K 0.000 0.868 0.632
K 0.000 0.368 0.868

## Properties
Relative energy among the computed polymorphs = 0.000 eV/atom
E_form = 32 meV per atom

# 6
The following is a GGA-PBEsol calculation of a relaxed structure of K2RbNa2, from the Alexandria database.

Unit cell a=4.794 b=4.794 c=13.980 alpha=99.87 beta=99.87 gamma=90.00
Fractional coordinates of all 5 atoms:
K 0.627 0.627 0.253
K 0.373 0.373 0.747
Na 0.750 0.250 0.500
Na 0.250 0.750 0.500
Rb 0.000 0.000 0.000

## Properties
Relative energy among the computed polymorphs = 0.023 eV/atom
E_form = 55 meV per atom

# 7
The following is a GGA-PBEsol calculation of a relaxed structure of KNa2S2, from the Alexandria database.

Unit cell a=3.180 b=8.322 c=8.322 alpha=90.00 beta=90.00 gamma=90.00
Fractional coordinates of all 10 atoms:
S 0.000 0.170 0.330
S 0.000 0.830 0.670
S 0.000 0.670 0.170
S 0.000 0.330 0.830
K 0.000 0.000 0.000
K 0.000 0.500 0.500
Na 0.500 0.374 0.126
Na 0.500 0.126 0.626
Na 0.500 0.626 0.874
Na 0.500 0.874 0.374

## Properties
Formation energy from raw total energies = -4.2 eV/f.u.

# 8
The following is a GGA-PBEsol calculation of a relaxed structure of KNa2Sb2, from the Alexandria database.

Unit cell a=3.220 b=9.579 c=9.579 alpha=90.00 beta=90.00 gamma=90.00
Fractional coordinates of all 10 atoms:
Sb 0.000 0.170 0.330
Sb 0.000 0.330 0.830
Sb 0.000 0.670 0.170
Sb 0.000 0.830 0.670
K 0.000 0.000 0.000
K 0.000 0.500 0.500
Na 0.500 0.125 0.625
Na 0.500 0.875 0.375
Na 0.500 0.375 0.125
Na 0.500 0.625 0.875

## Properties
Relative energy among the computed polymorphs = 0.022 eV/atom
Formation energy from raw total energies = -1.6 eV/f.u.

# 9
The following is a GGA-PBEsol calculation of a relaxed structure of KNa2Sb2, from the Alexandria database.

Unit cell a=5.034 b=5.034 c=7.426 alpha=109.81 beta=109.81 gamma=90.00
Fractional coordinates of all 5 atoms:
Sb 0.395 0.395 0.789
Sb 0.605 0.605 0.211
Na 0.250 0.750 0.500
Na 0.750 0.250 0.500
K 0.000 0.000 0.000

## Properties
Relative energy among the computed polymorphs = 0.000 eV/atom
Formation energy from raw total energies = -1.7 eV/f.u.

# 10
The following is a GGA-PBEsol calculation of a relaxed structure of K3NaSb, from the Alexandria database.

Unit cell a=6.710 b=6.710 c=6.710 alpha=90.00 beta=90.00 gamma=90.00
Fractional coordinates of all 5 atoms:
K 0.500 0.000 0.000
K 0.000 0.500 0.000
K 0.000 0.000 0.500
Na 0.500 0.500 0.500
Sb 0.000 0.000 0.000

## Properties
Formation energy from raw total energies = -0.5 eV/f.u.

# 11
The following is a GGA-PBEsol calculation of a relaxed structure of K2NaSb2, from the Alexandria database.

Unit cell a=5.283 b=8.239 c=8.239 alpha=90.00 beta=90.00 gamma=90.00
Fractional coordinates of all 10 atoms:
Sb 0.000 0.620 0.120
Sb 0.000 0.120 0.380
Sb 0.000 0.380 0.880
Sb 0.000 0.880 0.620
Na 0.000 0.000 0.000
Na 0.000 0.500 0.500
K 0.500 0.828 0.328
K 0.500 0.172 0.672
K 0.500 0.672 0.828
K 0.500 0.328 0.172

## Properties
Formation energy from raw total energies = -1.8 eV/f.u.

# 12
The following is a GGA-PBEsol calculation of a relaxed structure of K2NaSiSb, from the Alexandria database.

Unit cell a=5.523 b=6.220 c=6.220 alpha=90.00 beta=90.00 gamma=90.00
Fractional coordinates of all 5 atoms:
K 0.000 0.500 0.000
K 0.000 0.000 0.500
Si 0.000 0.000 0.000
Sb 0.500 0.500 0.500
Na 0.500 0.000 0.000

## Properties
Formation energy from raw total energies = 2.7 eV/f.u.

# 13
The following is a GGA-PBEsol calculation of a relaxed structure of KNa3Sc, from the Alexandria database.

Unit cell a=5.822 b=5.822 c=5.822 alpha=90.00 beta=90.00 gamma=90.00
Fractional coordinates of all 5 atoms:
Na 0.000 0.500 0.000
Na 0.000 0.000 0.500
Na 0.500 0.000 0.000
Sc 0.500 0.500 0.500
K 0.000 0.000 0.000

## Properties
E_form = 838 meV per atom

# 14
The following is a GGA-PBEsol calculation of a relaxed structure of KNaSe3, from the Alexandria database.

Unit cell a=5.831 b=5.831 c=5.831 alpha=90.00 beta=90.00 gamma=90.00
Fractional coordinates of all 5 atoms:
Se 0.500 0.000 0.000
Se 0.000 0.000 0.500
Se 0.000 0.500 0.000
K 0.000 0.000 0.000
Na 0.500 0.500 0.500

## Properties
Formation energy from raw total energies = 2.2 eV/f.u.

# 15
The following is a GGA-PBEsol calculation of a relaxed structure of KNaSe, from the Alexandria database.

Unit cell a=4.767 b=7.984 c=8.664 alpha=90.00 beta=90.00 gamma=90.00
Fractional coordinates of all 12 atoms:
K 0.750 0.514 0.315
K 0.250 0.486 0.685
K 0.250 0.986 0.815
K 0.750 0.014 0.185
Na 0.750 0.647 0.926
Na 0.250 0.353 0.074
Na 0.750 0.147 0.574
Na 0.250 0.853 0.426
Se 0.250 0.722 0.107
Se 0.750 0.278 0.893
Se 0.250 0.222 0.393
Se 0.750 0.778 0.607

## Properties
Formation energy from raw total energies = -3.3 eV/f.u.

# 16
The following is a GGA-PBEsol calculation of a relaxed structure of K3NaSe, from the Alexandria database.

Unit cell a=6.310 b=6.310 c=6.310 alpha=90.00 beta=90.00 gamma=90.00
Fractional coordinates of all 5 atoms:
K 0.500 0.000 0.000
K 0.000 0.500 0.000
K 0.000 0.000 0.500
Se 0.000 0.000 0.000
Na 0.500 0.500 0.500

## Properties
Relative energy among the computed polymorphs = 0.000 eV/atom
Formation energy from raw total energies = -2.8 eV/f.u.

# 17
The following is a GGA-PBEsol calculation of a relaxed structure of K3NaSn3Se8, from the Alexandria database.

Unit cell a=8.065 b=8.065 c=13.685 alpha=90.00 beta=90.00 gamma=90.00
Fractional coordinates of all 30 atoms:
Se 0.832 0.332 0.376
Se 0.815 0.315 0.854
Se 0.668 0.832 0.376
Se 0.685 0.815 0.854
Se 0.332 0.832 0.624
Se 0.185 0.315 0.146
Se 0.168 0.668 0.376
Se 0.832 0.668 0.624
Se 0.685 0.185 0.146
Se 0.315 0.185 0.854
Se 0.668 0.168 0.624
Se 0.332 0.168 0.376
Se 0.815 0.685 0.146
Se 0.168 0.332 0.624
Se 0.315 0.815 0.146
Se 0.185 0.685 0.854
K 0.000 0.000 0.276
K 0.500 0.500 0.000
K 0.500 0.500 0.724
K 0.500 0.500 0.276
K 0.000 0.000 0.724
K 0.000 0.000 0.000
Sn 0.000 0.500 0.245
Sn 0.500 0.000 0.500
Sn 0.000 0.500 0.755
Sn 0.500 0.000 0.755
Sn 0.000 0.500 0.500
Sn 0.500 0.000 0.245
Na 0.000 0.500 0.000
Na 0.500 0.000 0.000

## Properties
Formation energy from raw total energies = -11.2 eV/f.u.

# 18
The following is a GGA-PBEsol calculation of a relaxed structure of K3NaSi, from the Alexandria database.

Unit cell a=6.488 b=6.488 c=6.488 alpha=90.00 beta=90.00 gamma=90.00
Fractional coordinates of all 5 atoms:
Na 0.500 0.500 0.500
K 0.000 0.000 0.500
K 0.000 0.500 0.000
K 0.500 0.000 0.000
Si 0.000 0.000 0.000

## Properties
Formation energy from raw total energies = 1.7 eV/f.u.

# 19
The following is a GGA-PBEsol calculation of a relaxed structure of KNaSi3, from the Alexandria database.

Unit cell a=5.081 b=5.081 c=5.081 alpha=90.00 beta=90.00 gamma=90.00
Fractional coordinates of all 5 atoms:
Si 0.000 0.000 0.500
Si 0.000 0.500 0.000
Si 0.500 0.000 0.000
Na 0.000 0.000 0.000
K 0.500 0.500 0.500

## Properties
Formation energy from raw total energies = 5.7 eV/f.u.

# 20
The following is a GGA-PBEsol calculation of a relaxed structure of KNaTlSn2, from the Alexandria database.

Unit cell a=5.746 b=5.746 c=6.145 alpha=90.00 beta=90.00 gamma=90.00
Fractional coordinates of all 5 atoms:
Tl 0.000 0.000 0.000
Na 0.500 0.500 0.500
K 0.000 0.000 0.500
Sn 0.500 0.000 0.000
Sn 0.000 0.500 0.000

## Properties
E_form = 290 meV per atom